Entry 1:
A plane-wave DFT calculation with GGA-PBE was carried out for a relaxed RbSi2AgSb crystal.

For the uncorrected formation energy, the calculation gives 1.863 eV per atom.

The space group is P4/mmm (No. 123) and the conventional cell measures 5.565, 5.565 and 5.411 Å, with angles of 90.00, 90.00 and 90.00 degrees. Symmetry generates all atoms from Rb at (0.000, 0.000, 0.000), Si at (0.000, 0.500, 0.000), Ag at (0.000, 0.000, 0.500) and Sb at (0.500, 0.500, 0.500).

---

Entry 2:
A plane-wave DFT calculation with GGA-PBE was carried out for a relaxed Rb2AgSbTe4 crystal.

For the uncorrected formation energy, the calculation gives -0.471 eV per atom.

The space group is Fddd (No. 70, origin choice 2) and the conventional cell measures 6.591, 15.800 and 24.041 Å, with angles of 90.00, 90.00 and 90.00 degrees. Symmetry generates all atoms from Rb at (0.125, 0.125, 0.314), Ag at (0.125, 0.125, 0.625), Sb at (0.125, 0.125, 0.125) and Te at (0.118, 0.268, 0.444).

---

Entry 3:
A plane-wave DFT calculation with GGA-PBE was carried out for a relaxed Rb2Ag2SbTe4 crystal.

For the uncorrected formation energy, the calculation gives -0.450 eV per atom.

The space group is C2/m (No. 12) and the conventional cell measures 17.113, 4.440 and 8.709 Å, with angles of 90.00, 110.74 and 90.00 degrees. Symmetry generates all atoms from Rb at (0.135, 0.000, 0.067), Ag at (0.191, 0.500, 0.481), Sb at (0.000, 0.000, 0.500), Te at (0.018, 0.500, 0.267) and Te at (0.191, 0.000, 0.687).

---

Entry 4:
A plane-wave DFT calculation with GGA-PBE was carried out for a relaxed RbAgSbTe3 crystal.

For the uncorrected formation energy, the calculation gives -0.343 eV per atom.

The space group is P2_1/m (No. 11) and the conventional cell measures 10.080, 4.398 and 10.495 Å, with angles of 90.00, 109.50 and 90.00 degrees. Symmetry generates all atoms from Rb at (0.204, 0.250, 0.256), Ag at (0.065, 0.250, 0.589), Sb at (0.331, 0.750, 0.866), Te at (0.125, 0.250, 0.877), Te at (0.231, 0.750, 0.554) and Te at (0.469, 0.750, 0.166).

---

Entry 5:
A plane-wave DFT calculation with GGA-PBE was carried out for a relaxed RbAg2SbTe4 crystal.

For the uncorrected formation energy, the calculation gives -0.220 eV per atom.

The space group is I222 (No. 23) and the conventional cell measures 7.421, 8.674 and 9.569 Å, with angles of 90.00, 90.00 and 90.00 degrees. Symmetry generates all atoms from Rb at (0.000, 0.000, 0.000), Ag at (0.000, 0.500, 0.164), Sb at (0.000, 0.000, 0.500) and Te at (0.211, 0.188, 0.333).

---

Entry 6:
A plane-wave DFT calculation with GGA-PBE was carried out for a relaxed RbTiAg2Sb crystal.

For the uncorrected formation energy, the calculation gives 1.598 eV per atom.

The space group is P4/mmm (No. 123) and the conventional cell measures 5.420, 5.420 and 5.434 Å, with angles of 90.00, 90.00 and 90.00 degrees. Symmetry generates all atoms from Rb at (0.000, 0.000, 0.000), Ti at (0.000, 0.000, 0.500), Ag at (0.000, 0.500, 0.000) and Sb at (0.500, 0.500, 0.500).

---

Entry 7:
A plane-wave DFT calculation with GGA-PBE was carried out for a relaxed Rb2ZnAgSb2 crystal.

For the uncorrected formation energy, the calculation gives -0.271 eV per atom.

The space group is Ibam (No. 72) and the conventional cell measures 6.860, 16.846 and 6.806 Å, with angles of 90.00, 90.00 and 90.00 degrees. Symmetry generates all atoms from Rb at (0.241, 0.168, 0.000), Zn at (0.000, 0.500, 0.250), Ag at (0.000, 0.000, 0.250) and Sb at (0.235, 0.410, 0.000).

---

Entry 8:
A plane-wave DFT calculation with GGA-PBE was carried out for a relaxed Rb2Zn3AgSb4 crystal.

For the uncorrected formation energy, the calculation gives -0.210 eV per atom.

The space group is P-4m2 (No. 115) and the conventional cell measures 4.890, 4.890 and 11.488 Å, with angles of 90.00, 90.00 and 90.00 degrees. Symmetry generates all atoms from Rb at (0.000, 0.500, 0.243), Zn at (0.000, 0.000, 0.000), Zn at (0.000, 0.500, 0.635), Ag at (0.500, 0.500, 0.000), Sb at (0.000, 0.000, 0.500), Sb at (0.000, 0.500, 0.870) and Sb at (0.500, 0.500, 0.500).

---

Entry 9:
A plane-wave DFT calculation with GGA-PBE was carried out for a relaxed RbZnAgSb crystal.

For the uncorrected formation energy, the calculation gives -0.107 eV per atom.

The space group is P4/nmm (No. 129, origin choice 2) and the conventional cell measures 4.188, 4.188 and 14.142 Å, with angles of 90.00, 90.00 and 90.00 degrees. Symmetry generates all atoms from Rb at (0.250, 0.250, 0.218), Zn at (0.250, 0.750, 0.500), Ag at (0.250, 0.750, 0.000) and Sb at (0.250, 0.250, 0.624).

---

Entry 10:
A plane-wave DFT calculation with GGA-PBE was carried out for a relaxed RbZnAg2Sb crystal.

For the uncorrected formation energy, the calculation gives 0.462 eV per atom.

The space group is P4/mmm (No. 123) and the conventional cell measures 5.057, 5.057 and 5.795 Å, with angles of 90.00, 90.00 and 90.00 degrees. Symmetry generates all atoms from Rb at (0.000, 0.000, 0.000), Zn at (0.000, 0.000, 0.500), Ag at (0.000, 0.500, 0.500) and Sb at (0.500, 0.500, 0.000).

---

Entry 11:
A plane-wave DFT calculation with GGA-PBE was carried out for a relaxed Rb2ZrAgSb crystal.

For the uncorrected formation energy, the calculation gives 0.445 eV per atom.

The space group is P4/mmm (No. 123) and the conventional cell measures 7.052, 7.052 and 5.567 Å, with angles of 90.00, 90.00 and 90.00 degrees. Symmetry generates all atoms from Rb at (0.000, 0.500, 0.000), Zr at (0.000, 0.000, 0.500), Ag at (0.500, 0.500, 0.500) and Sb at (0.000, 0.000, 0.000).

---

Entry 12:
A plane-wave DFT calculation with GGA-PBE was carried out for a relaxed RbScAg3 crystal.

The value obtained for the formation energy is 1.26 eV/atom. The calculation puts the offset from the most stable computed form at 846 meV/atom.

The space group is Pm-3m (No. 221) and the conventional cell measures 5.557, 5.557 and 5.557 Å, with angles of 90.00, 90.00 and 90.00 degrees. Symmetry generates all atoms from Rb at (0.000, 0.000, 0.000), Sc at (0.500, 0.500, 0.500) and Ag at (0.000, 0.000, 0.500).